First-principles (meta-GGA SCAN) data for a crystal of Sb2Te relaxed with PBEsol, as listed in the Alexandria database.

Cell and atoms, written as POSCAR:
```
Sb2Te
1.0
4.351 0.000 0.000
-2.176 3.768 0.000
0.000 0.000 5.427
Sb Te
2 1
Cartesian
0.000 2.512 1.882
2.176 1.256 3.545
0.000 0.000 0.000
```

- formation energy (no corrections) (meV/atom) = -1
- energy (eV/atom) = -37.26
- spin magnetization (μB/cell) = 0.0
- ΔE to the lowest computed polymorph (eV/f.u.) = 0.013